#one
VASP calculation (PBE+U) on a relaxed VBIO2 crystal.

Lattice parameters (Å, degrees): 3.7092 3.7092 4.9038 90.00 90.00 90.00
Last column: nearest neighbours and their distance in Å.
Space group P4/mmm (No. 123)
Unique sites:
1 V 0.0000 0.0000 0.0000 x1  4 I 2.62
2 B 0.5000 0.5000 0.5000 x1  4 O 1.85
3 I 0.5000 0.5000 0.0000 x1  2 B 2.45, 4 V 2.62
4 O 0.0000 0.5000 0.5000 x2  2 B 1.85

DOS at the Fermi energy: 0.7 states/eV per cell
total moment: 0.5792 μB per atom
crystal system: tetragonal


#two
VASP calculation (PBE+U) on a relaxed VBIO2 crystal.

Lattice parameters (Å, degrees): 3.7216 3.7216 6.0771 90.00 90.00 90.00
Last column: nearest neighbours and their distance in Å.
Space group P4/mmm (No. 123)
Unique sites:
1 V 0.0000 0.0000 0.0000 x1  4 O 1.86
2 B 0.5000 0.5000 0.5000 x1  4 I 2.63
3 I 0.0000 0.0000 0.5000 x1  4 B 2.63
4 O 0.0000 0.5000 0.0000 x2  2 V 1.86

DOS at the Fermi energy: 3.0 states/eV per cell
total moment: 0.0262 μB per atom
crystal system: tetragonal


Energy above the most stable structure, in eV/atom: #one 0.404; #two 0.000


#one
VASP calculation (PBE+U) on a relaxed BWIO2 crystal.

Lattice parameters (Å, degrees): 3.8743 3.8743 7.5448 90.00 90.00 90.00
Last column: nearest neighbours and their distance in Å.
Space group P4/mmm (No. 123)
Unique sites:
1 B 0.0000 0.0000 0.0000 x1  4 I 2.74
2 W 0.5000 0.5000 0.5000 x1  4 O 1.94
3 I 0.5000 0.5000 0.0000 x1  4 B 2.74
4 O 0.0000 0.5000 0.5000 x2  2 W 1.94

DOS at the Fermi energy: 1.5 states/eV per cell
total moment: 0.4163 μB per atom
crystal system: tetragonal


#two
VASP calculation (PBE+U) on a relaxed BWIO2 crystal.

Lattice parameters (Å, degrees): 3.9002 3.9002 4.5977 90.00 90.00 90.00
Last column: nearest neighbours and their distance in Å.
Space group P4/mmm (No. 123)
Unique sites:
1 B 0.0000 0.0000 0.0000 x1  4 O 1.95
2 W 0.5000 0.5000 0.5000 x1  4 I 2.76, 8 O 3.01
3 I 0.0000 0.0000 0.5000 x1  2 B 2.30
4 O 0.0000 0.5000 0.0000 x2  2 B 1.95

DOS at the Fermi energy: 1.3 states/eV per cell
total moment: 0.7372 μB per atom
crystal system: tetragonal


Energy above the most stable structure, in eV/atom: #one 0.000; #two 0.953